Density functional theory data (GGA-PBE) for a geometry-optimized Al3ReB structure.

Cell lengths 4.7763, 4.7763, 4.7763 Å; angles 90.00, 90.00, 90.00 degrees
Last column: nearest neighbours and their distance in Å.
Fractional coordinates of all 5 atoms:
1 Al 0.0000 0.0000 0.5000  2 Re 2.39
2 Al 0.0000 0.5000 0.0000  2 Re 2.39
3 Al 0.5000 0.0000 0.0000  2 Re 2.39
4 Re 0.0000 0.0000 0.0000  6 Al 2.39
5 B 0.5000 0.5000 0.5000  12 Al 3.38

Properties
Formation energy from the elements: 1.184 eV per atom
Fermi-level density of states: 2.134 states/eV/cell

***

Density functional theory data (GGA-PBE) for a geometry-optimized AlRe2B structure.

Cell lengths 8.7475, 8.7475, 8.7475 Å; angles 154.88, 154.88, 35.82 degrees
Last column: nearest neighbours and their distance in Å.
Fractional coordinates of all 8 atoms:
1 Al 0.0000 0.0000 0.0000  4 Re 2.58, 4 B 2.69
2 Al 0.7500 0.2500 0.5000  4 Re 2.58, 4 B 2.69
3 Re 0.1890 0.6250 0.0640  2 Re 2.37, 2 B 2.39, 2 Al 2.58
4 Re 0.3750 0.4390 0.5640  2 Re 2.37, 2 B 2.39, 2 Al 2.58
5 Re 0.5610 0.1250 0.9360  2 Re 2.37, 2 B 2.39, 2 Al 2.58
6 Re 0.8750 0.8110 0.4360  2 Re 2.37, 2 B 2.39, 2 Al 2.58
7 B 0.2500 0.7500 0.5000  4 Re 2.39
8 B 0.5000 0.5000 0.0000  4 Re 2.39

Properties
Formation energy from the elements: 0.719 eV per atom
Fermi-level density of states: 2.571 states/eV/cell